[1]
Entry from the Alexandria database: a relaxed BaCrPt crystal (PBE).

Values from the calculation:
Mass density, g cm⁻³: 8.05
ΔE_f, eV/atom: 0.060
Density of states at the Fermi level, states/eV per cell: 2.43
Energy above the lowest structure with this stoichiometry, meV/atom: 221

Cell: 6.125 4.455 6.460 Å, 109.46 99.63 100.27°
Positions (direct):
Ba: 0.298 0.885 0.923
Ba: 0.886 0.443 0.221
Pt: 0.459 0.686 0.421
Pt: 0.220 0.172 0.517
Cr: 0.827 0.115 0.621
Cr: 0.673 0.431 0.667


[2]
Entry from the Alexandria database: a relaxed InP crystal (PBE).

Values from the calculation:
Mass density, g cm⁻³: 5.57
ΔE_f, eV/atom: 0.103
Density of states at the Fermi level, states/eV per cell: 1.35

Cell: 6.534 8.652 3.847 Å, 77.15 72.88 24.89°
Positions (direct):
In: 0.895 0.653 0.726
In: 0.021 0.930 0.024
P: 0.655 0.382 0.482
P: 0.262 0.201 0.268


[3]
Entry from the Alexandria database: a relaxed Rb2ScCu2S4 crystal (PBE).

Values from the calculation:
Mass density, g cm⁻³: 3.88
Density of states at the Fermi level, states/eV per cell: 4.99
Raw formation energy, eV/atom: -1.071

Cell: 3.812 7.788 7.379 Å, 107.13 104.97 90.00°
Positions (direct):
Cu: 0.320 0.015 0.640
Cu: 0.680 0.985 0.360
S: 0.520 0.785 0.041
S: 0.196 0.163 0.391
S: 0.804 0.837 0.609
S: 0.480 0.215 0.959
Rb: 0.868 0.446 0.735
Rb: 0.132 0.554 0.265
Sc: 0.000 0.000 0.000